--- 1 ---
## Cd5Sb (GGA-PBEsol)

Data for a relaxed Cd5Sb crystal.

abc: 5.3301 5.3301 5.4789
angles: 90.00 90.00 120.00
Fractional positions:
Cd: 0.0000 0.6602 0.0000
Cd: 0.3333 0.6667 0.5000
Cd: 0.3398 0.3398 0.0000
Cd: 0.6602 0.0000 0.0000
Cd: 0.6667 0.3333 0.5000
Sb: 0.0000 0.0000 0.5000

Output
DOS(E_F) (states/eV per cell): 2.6

--- 2 ---
## Cd5Sb (GGA-PBEsol)

Data for a relaxed Cd5Sb crystal.

abc: 5.5627 2.9555 16.4823
angles: 90.00 90.00 90.00
Fractional positions:
Cd: 0.0000 0.0000 0.0000
Cd: 0.0000 0.0000 0.3330
Cd: 0.0000 0.0000 0.6658
Cd: 0.0000 0.5000 0.1658
Cd: 0.0000 0.5000 0.5000
Cd: 0.0000 0.5000 0.8330
Cd: 0.5000 0.0000 0.1595
Cd: 0.5000 0.0000 0.5026
Cd: 0.5000 0.5000 0.0026
Cd: 0.5000 0.5000 0.6595
Sb: 0.5000 0.0000 0.8311
Sb: 0.5000 0.5000 0.3311

Output
DOS(E_F) (states/eV per cell): 3.8

--- 3 ---
## Cd5Sb (GGA-PBEsol)

Data for a relaxed Cd5Sb crystal.

abc: 3.1777 3.1777 13.1164
angles: 90.00 90.00 90.00
Fractional positions:
Cd: 0.0000 0.0000 0.0000
Cd: 0.0000 0.0000 0.3180
Cd: 0.0000 0.0000 0.6820
Cd: 0.5000 0.5000 0.1597
Cd: 0.5000 0.5000 0.8403
Sb: 0.5000 0.5000 0.5000

Output
DOS(E_F) (states/eV per cell): 2.3

--- 4 ---
## Cd5Sb (GGA-PBEsol)

Data for a relaxed Cd5Sb crystal.

abc: 4.4536 13.4673 4.4383
angles: 90.00 90.00 90.00
Fractional positions:
Cd: 0.0000 0.0000 0.0000
Cd: 0.0000 0.1714 0.5000
Cd: 0.0000 0.3284 0.0000
Cd: 0.0000 0.6716 0.0000
Cd: 0.0000 0.8286 0.5000
Cd: 0.5000 0.1716 0.0000
Cd: 0.5000 0.3286 0.5000
Cd: 0.5000 0.5000 0.0000
Cd: 0.5000 0.6714 0.5000
Cd: 0.5000 0.8284 0.0000
Sb: 0.0000 0.5000 0.5000
Sb: 0.5000 0.0000 0.5000

Output
DOS(E_F) (states/eV per cell): 4.2

Stability comparison, relative energies in meV/atom: 1 35; 2 20; 3 9; 4 0